No. 1
The following is a GGA-PBE calculation of NaAcSiAg after structural relaxation, from Alexandria.

The total magnetization comes out at 0.0000 μB/atom. As for the electronic total energy: -3.5690 eV per atom. For the uncorrected formation energy, the calculation gives -55 kJ/mol of formula units.

The space group is F-43m (No. 216) and the conventional cell measures 7.495, 7.495 and 7.495 Å, with angles of 90.00, 90.00 and 90.00 degrees. The inequivalent atoms are Na at (0.000, 0.000, 0.000), Ac at (0.000, 0.000, 0.500), Si at (0.250, 0.250, 0.750) and Ag at (0.250, 0.250, 0.250).



No. 2
The following is a GGA-PBE calculation of NdTh4Au5 after structural relaxation, from Alexandria.

As for the formation enthalpy at 0 K: -5.96 eV/f.u. The total magnetization comes out at 0.0000 μB/atom. As for the electronic total energy: -5.6795 eV per atom.

The space group is P4/mmm (No. 123) and the conventional cell measures 3.716, 3.716 and 18.623 Å, with angles of 90.00, 90.00 and 90.00 degrees. The inequivalent atoms are Nd at (0.000, 0.000, 0.000), Th at (0.000, 0.000, 0.200), Th at (0.000, 0.000, 0.400), Au at (0.500, 0.500, 0.100), Au at (0.500, 0.500, 0.300) and Au at (0.500, 0.500, 0.500).



No. 3
The following is a GGA-PBE calculation of KTiAgO3 after structural relaxation, from Alexandria.

The total magnetization comes out at 0.0000 μB/atom. As for the electronic total energy: -6.3891 eV per atom. For the uncorrected formation energy, the calculation gives -1121 kJ/mol of formula units.

The space group is C2/m (No. 12) and the conventional cell measures 12.706, 6.750 and 6.822 Å, with angles of 90.00, 101.35 and 90.00 degrees. The inequivalent atoms are K at (0.242, 0.000, 0.183), Ti at (0.066, 0.000, 0.687), Ag at (0.000, 0.267, 0.000), O at (0.084, 0.000, 0.419) and O at (0.117, 0.219, 0.829).



No. 4
The following is a GGA-PBE calculation of Cd2GeAs4 after structural relaxation, from Alexandria.

As for the formation enthalpy at 0 K: -0.64 eV/f.u. The total magnetization comes out at 0.0000 μB/atom. As for the electronic total energy: -3.6695 eV per atom.

The space group is Pnma (No. 62) and the conventional cell measures 7.345, 7.553 and 12.903 Å, with angles of 90.00, 90.00 and 90.00 degrees. The inequivalent atoms are Cd at (0.094, 0.024, 0.130), Ge at (0.082, 0.750, 0.419), As at (0.044, 0.512, 0.675), As at (0.091, 0.250, 0.961) and As at (0.113, 0.250, 0.423).



No. 5
The following is a GGA-PBE calculation of Y4PdC2 after structural relaxation, from Alexandria.

As for the formation enthalpy at 0 K: -2.75 eV/f.u. The total magnetization comes out at 0.1023 μB/atom. As for the electronic total energy: -7.4636 eV per atom.

The space group is Cmcm (No. 63) and the conventional cell measures 3.681, 12.207 and 12.801 Å, with angles of 90.00, 90.00 and 90.00 degrees. The inequivalent atoms are Y at (0.000, 0.000, 0.000), Y at (0.000, 0.266, 0.106), Y at (0.000, 0.432, 0.750), Pd at (0.000, 0.113, 0.750) and C at (0.000, 0.365, 0.562).



No. 6
The following is a GGA-PBE calculation of RbGa3Tc after structural relaxation, from Alexandria.

As for the formation enthalpy at 0 K: -0.15 eV/f.u. The calculation puts the excess energy over the best structure of this formula in the dataset at 113 meV per atom. The total magnetization comes out at 0.0000 μB/atom. As for the electronic total energy: -4.1135 eV per atom.

The space group is P1 (No. 1) and the conventional cell measures 4.312, 6.638 and 9.954 Å, with angles of 74.28, 77.53 and 71.08 degrees. The inequivalent atoms are Rb at (0.000, 0.000, 0.000), Rb at (0.322, 0.596, 0.759), Ga at (0.071, 0.263, 0.594), Ga at (0.262, 0.224, 0.255), Ga at (0.454, 0.798, 0.293), Ga at (0.638, 0.048, 0.675), Ga at (0.681, 0.505, 0.138), Ga at (0.824, 0.936, 0.414), Tc at (0.037, 0.553, 0.370) and Tc at (0.615, 0.339, 0.429).